Record 1
Material: Fe2SiAg
Method: DFT, PBE
State: relaxed

```
4
Lattice="-4.2686 -1.2005 2.1902 -3.3228 -2.3255 -2.8301 4.5619 -0.1737 1.9020" Properties=species:S:1:pos:R:3 pbc="T T T"
Ag -1.3567 -2.1676 -0.6307
Fe -7.4660 -3.4678 -0.6294
Fe -1.6791 -1.5352 1.8922
Si -3.9147 -1.8183 -0.3300
```

V	53.4	Å³/f.u.
DFT total energy	-6.110	eV per atom
raw formation energy	0.190	eV/atom
density of states at the Fermi level	3.04	states/eV per cell
space-group type	Imm2
size of the total moment	1.17	μB per atom

***

Record 2
Material: Fe2SiAg
Method: DFT, PBE
State: relaxed

```
4
Lattice="3.6467 0.0000 0.0000 0.0000 2.6897 -0.0076 0.0000 1.9825 5.4204" Properties=species:S:1:pos:R:3 pbc="T T T"
Ag 1.8233 3.5041 4.0596
Fe 0.0000 0.1586 0.2326
Fe 0.0000 2.1775 2.4737
Si 1.8233 1.1680 1.3532
```

V	53.2	Å³/f.u.
DFT total energy	-6.191	eV per atom
raw formation energy	0.109	eV/atom
density of states at the Fermi level	3.14	states/eV per cell
space-group type	P2/m
size of the total moment	1.02	μB per atom

***

Record 3
Material: Fe2SiAg
Method: DFT, PBE
State: relaxed

```
4
Lattice="4.0665 0.0000 0.0000 0.0000 2.6873 -0.0061 0.0000 0.4963 4.9740" Properties=species:S:1:pos:R:3 pbc="T T T"
Ag 2.0332 2.0793 3.7975
Fe 0.0000 0.1665 0.0915
Fe 2.0332 0.7157 1.3583
Si 0.0000 1.8139 2.2044
```

V	54.4	Å³/f.u.
DFT total energy	-6.154	eV per atom
raw formation energy	0.146	eV/atom
density of states at the Fermi level	2.83	states/eV per cell
space-group type	Pm
size of the total moment	1.20	μB per atom

***

Record 4
Material: FeSi2Ag
Method: DFT, PBE
State: relaxed

```
4
Lattice="-0.0775 -2.5911 -0.7630 1.4223 -0.6850 2.1931 -6.5140 -0.9608 3.9243" Properties=species:S:1:pos:R:3 pbc="T T T"
Ag -0.9561 -1.8783 1.6962
Fe -4.2131 -2.3587 3.6583
Si -6.1245 -0.9034 3.6897
Si -3.6465 -0.5379 2.1968
```

V	56.0	Å³/f.u.
DFT total energy	-5.488	eV per atom
raw formation energy	0.052	eV/atom
density of states at the Fermi level	1.45	states/eV per cell
polymorph energy (0 for the lowest one)	114.5	meV/atom
space-group type	P4/mmm
size of the total moment	0.00	μB per atom

***

Record 5
Material: Fe2SiAg
Method: DFT, PBE
State: relaxed

```
4
Lattice="3.7090 0.0000 0.0000 0.0000 3.7113 0.0000 0.0000 0.0000 3.8534" Properties=species:S:1:pos:R:3 pbc="T T T"
Ag 0.0000 1.8556 1.9267
Fe 0.0000 0.0000 0.0000
Fe 1.8545 1.8556 0.0000
Si 1.8545 0.0000 1.9267
```

V	53.0	Å³/f.u.
DFT total energy	-6.107	eV per atom
raw formation energy	0.193	eV/atom
density of states at the Fermi level	2.81	states/eV per cell
space-group type	P4/mmm
size of the total moment	1.13	μB per atom

***

Record 6
Material: FeSiAg2
Method: DFT, PBE
State: relaxed

```
4
Lattice="3.4167 0.0000 0.0000 0.0000 2.7864 0.0000 0.0000 1.3902 6.4652" Properties=species:S:1:pos:R:3 pbc="T T T"
Ag 0.0000 3.6553 6.3385
Ag 1.7084 0.8710 1.7588
Fe 0.0000 2.2611 3.6834
Si 1.7084 3.6543 4.3821
```

V	61.6	Å³/f.u.
DFT total energy	-4.770	eV per atom
raw formation energy	0.127	eV/atom
density of states at the Fermi level	2.54	states/eV per cell
space-group type	Amm2
size of the total moment	0.30	μB per atom